# YNiH3SO7, relaxed, DFT PBE with a Hubbard U
data_YNiH3SO7
_chemical_formula_sum 'Y4 Ni4 H12 S4 O28'
_space_group_name_H-M_alt 'P n m a'
_space_group_IT_number 62
_cell_length_a 7.020
_cell_length_b 7.355
_cell_length_c 10.399
_cell_angle_alpha 90.00
_cell_angle_beta 90.00
_cell_angle_gamma 90.00
loop_
_space_group_symop_operation_xyz
'x,y,z'
'-x,-y,-z'
'-x+1/2,-y,z+1/2'
'x+1/2,y,-z+1/2'
'x+1/2,-y+1/2,-z+1/2'
'-x+1/2,y+1/2,z+1/2'
'-x,y+1/2,-z'
'x,-y+1/2,z'
loop_
_atom_site_label
_atom_site_fract_x
_atom_site_fract_y
_atom_site_fract_z
_atom_site_occupancy
Y1 0.241 0.250 0.199 1
Ni1 0.000 0.000 0.000 1
H1 0.021 0.048 0.760 1
H2 0.233 0.250 0.929 1
S1 0.121 0.250 0.553 1
O1 0.039 0.750 0.354 1
O2 0.044 0.566 0.807 1
O3 0.051 0.250 0.417 1
O4 0.128 0.250 0.992 1
O5 0.237 0.083 0.575 1
# Fermi-level density of states: 0.00 states/eV/f.u.
# calculated volume: 10.32 Å³ per atom
# VASP energy: -321.56 eV per cell